! Fe3Re5 (PBE, relaxed); values from VASP
! **Crystal system**: orthorhombic
! **N(E_F)**: 7.8 states/eV/f.u.
! **Offset from the most stable computed form**: 0 meV/atom
! **Final energy**: -10.877 eV per atom
! **SG**: Cmmm (65)
! **Formation energy from the elements**: 0.08 eV per atom
&SYSTEM
  ibrav = 0, nat = 16, ntyp = 2
/
ATOMIC_SPECIES
Fe 55.84 Fe.upf
Re 186.21 Re.upf
CELL_PARAMETERS angstrom
7.5031 0.0000 0.0000
0.0000 7.6130 0.0000
0.0000 0.0000 3.7980
ATOMIC_POSITIONS angstrom
Fe 0.0000 0.0000 0.0000
Fe 0.0000 1.8932 1.8990
Fe 0.0000 5.7198 1.8990
Fe 3.7515 1.9133 1.8990
Fe 3.7515 3.8065 0.0000
Fe 3.7515 5.6997 1.8990
Re 0.0000 3.8065 0.0000
Re 1.7919 0.0000 1.8990
Re 1.8758 1.9033 0.0000
Re 1.8758 5.7098 0.0000
Re 1.9597 3.8065 1.8990
Re 3.7515 0.0000 0.0000
Re 5.5434 3.8065 1.8990
Re 5.6273 1.9033 0.0000
Re 5.6273 5.7098 0.0000
Re 5.7112 0.0000 1.8990